Here is NdMgPaO6 after structural relaxation from the Alexandria database. Energies are from PBE.

Values from the calculation:
Raw total energy in eV per cell: -69.40
Space group: P312, No. 149
Formation energy from raw total energies in eV per atom: -2.644

Lattice parameters (Å, degrees): 4.8028 5.6309 5.6309 120.00 90.00 90.00
With the nearest neighbours (Å) after each atom.
Positions (direct):
1 O 0.2577 0.6677 0.9684  1 Mg 2.13, 1 Pa 2.18, 1 Nd 2.36
2 O 0.7423 0.3007 0.9684  1 Mg 2.13, 1 Pa 2.18, 1 Nd 2.36
3 Nd 0.5000 0.6667 0.3333  6 O 2.36
4 Mg 0.5000 0.0000 0.0000  6 O 2.13
5 O 0.2577 0.0316 0.6993  1 Mg 2.13, 1 Pa 2.18, 1 Nd 2.36
6 O 0.2577 0.3007 0.3323  1 Mg 2.13, 1 Pa 2.18, 1 Nd 2.36
7 O 0.7423 0.6677 0.6993  1 Mg 2.13, 1 Pa 2.18, 1 Nd 2.36
8 O 0.7423 0.0316 0.3323  1 Mg 2.13, 1 Pa 2.18, 1 Nd 2.36
9 Pa 0.0000 0.3333 0.6667  6 O 2.18